Entry 1:
The following is a DFT calculation (GGA-PBE) of a geometry-optimized Ho2Cu3Si structure.

a b c (Å): 3.6037 4.1302 7.3709
angles (deg): 90.00 90.00 90.00
With the nearest neighbours (Å) after each atom.
Fractional coordinates of all 6 atoms:
Ho1 0.0000 0.0000 0.0000  10 Cu 2.99-3.11, 2 Si 3.03
Ho2 0.0000 0.5000 0.4986  8 Cu 2.98-3.07, 4 Si 3.01
Cu1 0.5000 0.0000 0.6565  1 Si 2.41, 2 Cu 2.45
Cu2 0.5000 0.5000 0.1726  2 Si 2.37, 1 Cu 2.48
Cu3 0.5000 0.5000 0.8364  3 Cu 2.45-2.48
Si1 0.5000 0.0000 0.3302  3 Cu 2.37-2.41

Output
Formation energy (no corrections)   -0.428 eV per atom
Raw total energy   -4.91 eV/atom
D(E_F)   4.06 states/eV/f.u.

=====

Entry 2:
The following is a DFT calculation (GGA-PBE) of a geometry-optimized HoCu12Si4 structure.

a b c (Å): 7.0172 7.0172 7.0172
angles (deg): 109.47 109.47 109.47
With the nearest neighbours (Å) after each atom.
Fractional coordinates of all 17 atoms:
Ho1 0.0000 0.0000 0.0000  12 Cu 3.11
Cu1 0.1558 0.5070 0.3512  2 Si 2.31, 2 Cu 2.41-2.53
Cu2 0.1558 0.8046 0.6488  2 Si 2.31, 2 Cu 2.41-2.53
Cu3 0.1954 0.3512 0.8442  2 Si 2.31, 2 Cu 2.41-2.53
Cu4 0.3512 0.1558 0.5070  2 Si 2.31, 2 Cu 2.41-2.53
Cu5 0.3512 0.8442 0.1954  2 Si 2.31, 2 Cu 2.41-2.53
Cu6 0.4930 0.6488 0.8442  2 Si 2.31, 2 Cu 2.41-2.53
Cu7 0.5070 0.3512 0.1558  2 Si 2.31, 2 Cu 2.41-2.53
Cu8 0.6488 0.1558 0.8046  2 Si 2.31, 2 Cu 2.41-2.53
Cu9 0.6488 0.8442 0.4930  2 Si 2.31, 2 Cu 2.41-2.53
Cu10 0.8046 0.6488 0.1558  2 Si 2.31, 2 Cu 2.41-2.53
Cu11 0.8442 0.1954 0.3512  2 Si 2.31, 2 Cu 2.41-2.53
Cu12 0.8442 0.4930 0.6488  2 Si 2.31, 2 Cu 2.41-2.53
Si1 0.0000 0.0000 0.5000  6 Cu 2.31
Si2 0.0000 0.5000 0.0000  6 Cu 2.31
Si3 0.5000 0.0000 0.0000  6 Cu 2.31
Si4 0.5000 0.5000 0.5000  6 Cu 2.31

Output
Formation energy (no corrections)   0.271 eV per atom
Raw total energy   -4.17 eV/atom
D(E_F)   9.79 states/eV/f.u.

=====

Entry 3:
The following is a DFT calculation (GGA-PBE) of a geometry-optimized Ho2Cu2Si3 structure.

a b c (Å): 9.0071 9.0071 6.5814
angles (deg): 90.00 90.00 153.34
With the nearest neighbours (Å) after each atom.
Fractional coordinates of all 14 atoms:
Ho1 0.0513 0.9487 0.7500  9 Si 2.96-3.11
Ho2 0.1572 0.8428 0.2500  6 Si 2.92-2.96, 6 Cu 2.96-2.97
Ho3 0.8428 0.1572 0.7500  6 Si 2.92-2.96, 6 Cu 2.96-2.97
Ho4 0.9487 0.0513 0.2500  9 Si 2.96-3.11
Cu1 0.3106 0.6894 0.0597  4 Si 2.39-2.56, 1 Cu 2.51
Cu2 0.3106 0.6894 0.4403  4 Si 2.39-2.56, 1 Cu 2.51
Cu3 0.6894 0.3106 0.5597  4 Si 2.39-2.56, 1 Cu 2.51
Cu4 0.6894 0.3106 0.9403  4 Si 2.39-2.56, 1 Cu 2.51
Si1 0.2222 0.7778 0.7500  6 Cu 2.49-2.56
Si2 0.4382 0.5618 0.5688  2 Si 2.35-2.39, 1 Cu 2.39
Si3 0.4382 0.5618 0.9312  2 Si 2.35-2.39, 1 Cu 2.39
Si4 0.5618 0.4382 0.0688  2 Si 2.35-2.39, 1 Cu 2.39
Si5 0.5618 0.4382 0.4312  2 Si 2.35-2.39, 1 Cu 2.39
Si6 0.7778 0.2222 0.2500  6 Cu 2.49-2.56

Output
Formation energy (no corrections)   -0.657 eV per atom
Raw total energy   -5.46 eV/atom
D(E_F)   1.39 states/eV/f.u.

=====

Entry 4:
The following is a DFT calculation (GGA-PBE) of a geometry-optimized Ho2Cu12Si7 structure.

a b c (Å): 9.4419 9.4419 3.8874
angles (deg): 90.00 90.00 120.00
With the nearest neighbours (Å) after each atom.
Fractional coordinates of all 21 atoms:
Ho1 0.3333 0.6667 0.2516  6 Si 2.97-2.99, 12 Cu 3.16-3.28
Ho2 0.6667 0.3333 0.7484  6 Si 2.97-2.99, 12 Cu 3.16-3.28
Cu1 0.0484 0.4320 0.7516  4 Si 2.36-2.44, 1 Cu 2.56
Cu2 0.1217 0.2657 0.2405  4 Si 2.39-2.47, 1 Cu 2.56
Cu3 0.1440 0.8783 0.2405  4 Si 2.39-2.47, 1 Cu 2.56
Cu4 0.2657 0.1440 0.7595  4 Si 2.39-2.47, 1 Cu 2.56
Cu5 0.3836 0.9516 0.7516  4 Si 2.36-2.44, 1 Cu 2.56
Cu6 0.4320 0.3836 0.2484  4 Si 2.36-2.44, 1 Cu 2.56
Cu7 0.5680 0.6164 0.7516  4 Si 2.36-2.44, 1 Cu 2.56
Cu8 0.6164 0.0484 0.2484  4 Si 2.36-2.44, 1 Cu 2.56
Cu9 0.7343 0.8560 0.2405  4 Si 2.39-2.47, 1 Cu 2.56
Cu10 0.8560 0.1217 0.7595  4 Si 2.39-2.47, 1 Cu 2.56
Cu11 0.8783 0.7343 0.7595  4 Si 2.39-2.47, 1 Cu 2.56
Cu12 0.9516 0.5680 0.2484  4 Si 2.36-2.44, 1 Cu 2.56
Si1 0.0000 0.0000 0.5000  6 Cu 2.40
Si2 0.1181 0.7089 0.7472  7 Cu 2.36-2.47
Si3 0.2911 0.4092 0.7472  7 Cu 2.36-2.47
Si4 0.4092 0.1181 0.2528  7 Cu 2.36-2.47
Si5 0.5908 0.8819 0.7472  7 Cu 2.36-2.47
Si6 0.7089 0.5908 0.2528  7 Cu 2.36-2.47
Si7 0.8819 0.2911 0.2528  7 Cu 2.36-2.47

Output
Formation energy (no corrections)   -0.244 eV per atom
Raw total energy   -4.83 eV/atom
D(E_F)   3.07 states/eV/f.u.